No. 1
! CePr2Y9 (PBE-GGA, relaxed); values from VASP
! spin magnetization	1.0	μB/cell
! uncorrected energy	-73.19	eV/cell
! space group	No. 123
! volume	395	Å³ per cell
! energy of formation from the pure elements	3.9	kJ/mol of atoms
&SYSTEM
  ibrav = 0, nat = 12, ntyp = 3
/
ATOMIC_SPECIES
Y 88.91 Y.upf
Pr 140.91 Pr.upf
Ce 140.12 Ce.upf
CELL_PARAMETERS angstrom
-3.024 -0.628 -4.045
-1.022 -4.754 1.502
-11.877 5.107 8.088
ATOMIC_POSITIONS crystal
Y 0.000 0.500 0.163
Y 0.500 0.000 0.500
Y 0.000 0.500 0.500
Y 0.500 0.500 0.667
Pr 0.000 0.000 0.669
Y 0.500 0.500 0.000
Y 0.500 0.000 0.837
Y 0.500 0.500 0.333
Pr 0.000 0.000 0.331
Y 0.500 0.000 0.163
Y 0.000 0.500 0.837
Ce 0.000 0.000 0.000

No. 2
! CePr6Y12 (PBE-GGA, relaxed); values from VASP
! spin magnetization	0.1	μB/cell
! uncorrected energy	-108.22	eV/cell
! space group	No. 166
! volume	661	Å³ per cell
! energy of formation from the pure elements	20.1	kJ/mol of atoms
&SYSTEM
  ibrav = 0, nat = 19, ntyp = 3
/
ATOMIC_SPECIES
Y 88.91 Y.upf
Pr 140.91 Pr.upf
Ce 140.12 Ce.upf
CELL_PARAMETERS angstrom
8.752 -0.210 -1.251
-1.412 8.640 -1.251
-0.183 -0.210 8.839
ATOMIC_POSITIONS crystal
Y 0.079 0.351 0.351
Y 0.756 0.244 0.500
Pr 0.902 0.340 0.902
Y 0.244 0.756 0.500
Y 0.921 0.649 0.649
Y 0.756 0.500 0.244
Y 0.351 0.351 0.079
Pr 0.098 0.660 0.098
Y 0.351 0.079 0.351
Pr 0.098 0.098 0.660
Pr 0.340 0.902 0.902
Pr 0.902 0.902 0.340
Y 0.500 0.756 0.244
Y 0.649 0.921 0.649
Ce 0.000 0.000 0.000
Y 0.244 0.500 0.756
Y 0.649 0.649 0.921
Y 0.500 0.244 0.756
Pr 0.660 0.098 0.098

No. 3
! Ce2PrY (PBE-GGA, relaxed); values from VASP
! spin magnetization	1.7	μB/cell
! uncorrected energy	-22.63	eV/cell
! space group	No. 123
! energy above the lowest structure with this stoichiometry	0.8	kJ/mol of formula units
! volume	127	Å³ per cell
! energy of formation from the pure elements	11.7	kJ/mol of atoms
&SYSTEM
  ibrav = 0, nat = 4, ntyp = 3
/
ATOMIC_SPECIES
Y 88.91 Y.upf
Pr 140.91 Pr.upf
Ce 140.12 Ce.upf
CELL_PARAMETERS angstrom
5.172 0.000 0.000
0.000 4.951 0.000
0.000 0.000 4.951
ATOMIC_POSITIONS crystal
Y 0.500 0.000 0.000
Pr 0.500 0.500 0.500
Ce 0.000 0.500 0.000
Ce 0.000 0.000 0.500

Among the records above, which one has the highest uncorrected energy? Ce2PrY

Look up the spin magnetization of the third one. 1.7 μB/cell

What is the uncorrected energy in the second record? -108.22 eV/cell

Number 2 is which compound? CePr6Y12